No. 1
# YMgInBr2

A relaxed YMgInBr2 crystal (PBE, Alexandria).

Summary:
Its volume is 195.2 Å³/f.u. The value obtained for the formation energy without anion corrections is -0.5455 eV/atom. The theoretical density is 3.3 g/cm³. Its symmetry is No. 123.

a = 5.4814 Å, b = 6.4954 Å, c = 5.4814 Å
α = 90.00°, β = 90.00°, γ = 90.00°
Sites, in units of the cell vectors:
Y1 0.0000 0.0000 0.0000
Mg1 0.5000 0.5000 0.5000
Br1 0.0000 0.0000 0.5000
Br2 0.5000 0.0000 0.0000
In1 0.0000 0.5000 0.0000

***

No. 2
# Ho6GaS5

A relaxed Ho6GaS5 crystal (PBE, Alexandria).

Summary:
Its volume is 259.1 Å³/f.u. The value obtained for the formation energy without anion corrections is -1.7588 eV/atom. The theoretical density is 7.8 g/cm³. Its symmetry is No. 12.

a = 6.8125 Å, b = 6.8125 Å, c = 6.8139 Å
α = 99.57°, β = 99.57°, γ = 119.73°
Sites, in units of the cell vectors:
S1 0.8324 0.1676 0.5000
S2 0.6664 0.3336 0.0000
S3 0.5000 0.5000 0.5000
S4 0.3336 0.6664 0.0000
S5 0.1676 0.8324 0.5000
Ho1 0.4165 0.0828 0.2496
Ho2 0.9172 0.5835 0.7504
Ho3 0.2500 0.2500 0.7508
Ho4 0.7500 0.7500 0.2492
Ho5 0.0828 0.4165 0.2496
Ho6 0.5835 0.9172 0.7504
Ga1 0.0000 0.0000 0.0000

***

No. 3
# Dy2Rh7

A relaxed Dy2Rh7 crystal (PBE, Alexandria).

Summary:
Its volume is 156.1 Å³/f.u. The theoretical density is 11.1 g/cm³. Its symmetry is No. 166.

a = 5.2419 Å, b = 5.2419 Å, c = 13.4677 Å
α = 78.78°, β = 78.78°, γ = 60.00°
Sites, in units of the cell vectors:
Dy1 0.0495 0.0495 0.8516
Dy2 0.9505 0.9505 0.1484
Dy3 0.1471 0.1471 0.5587
Dy4 0.8529 0.8529 0.4413
Rh1 0.5000 0.5000 0.5000
Rh2 0.2776 0.2776 0.1673
Rh3 0.7224 0.7224 0.8327
Rh4 0.3894 0.3894 0.8319
Rh5 0.6106 0.6106 0.1681
Rh6 0.5000 0.0000 0.0000
Rh7 0.0000 0.5000 0.0000
Rh8 0.5000 0.5000 0.0000
Rh9 0.6115 0.6115 0.6678
Rh10 0.6115 0.1091 0.6678
Rh11 0.1091 0.6115 0.6678
Rh12 0.3885 0.3885 0.3322
Rh13 0.3885 0.8909 0.3322
Rh14 0.8909 0.3885 0.3322

***

No. 4
# KSrTlCl6

A relaxed KSrTlCl6 crystal (PBE, Alexandria).

Summary:
Its volume is 306.0 Å³/f.u. The value obtained for the formation energy without anion corrections is -1.5714 eV/atom. The theoretical density is 3.0 g/cm³. Its symmetry is No. 163.

a = 7.3014 Å, b = 7.3014 Å, c = 13.2573 Å
α = 90.00°, β = 90.00°, γ = 120.00°
Sites, in units of the cell vectors:
K1 0.0000 0.0000 0.0000
K2 0.0000 0.0000 0.5000
Sr1 0.3333 0.6667 0.2500
Sr2 0.6667 0.3333 0.7500
Tl1 0.6667 0.3333 0.2500
Tl2 0.3333 0.6667 0.7500
Cl1 0.6495 0.6209 0.1352
Cl2 0.9714 0.3505 0.1352
Cl3 0.3505 0.9714 0.6352
Cl4 0.0286 0.6495 0.8648
Cl5 0.3791 0.3505 0.3648
Cl6 0.9714 0.6209 0.3648
Cl7 0.6209 0.9714 0.8648
Cl8 0.6495 0.0286 0.3648
Cl9 0.0286 0.3791 0.6352
Cl10 0.3791 0.0286 0.1352
Cl11 0.6209 0.6495 0.6352
Cl12 0.3505 0.3791 0.8648

***

No. 5
# RbReTe

A relaxed RbReTe crystal (PBE, Alexandria).

Summary:
Its volume is 108.9 Å³/f.u. The value obtained for the formation energy without anion corrections is 0.2589 eV/atom. The relative energy among the computed polymorphs comes out at 4.05 kcal/mol of atoms. The theoretical density is 6.1 g/cm³. Its symmetry is No. 8.

a = 8.5994 Å, b = 4.0986 Å, c = 13.0449 Å
α = 90.00°, β = 108.70°, γ = 90.00°
Sites, in units of the cell vectors:
Re1 0.0459 0.0000 0.1555
Re2 0.0459 0.5000 0.6555
Re3 0.8946 0.0000 0.5974
Re4 0.8946 0.5000 0.0974
Te1 0.2438 0.0000 0.6224
Te2 0.2438 0.5000 0.1224
Te3 0.6975 0.0000 0.1312
Te4 0.6975 0.5000 0.6312
Rb1 0.4728 0.0000 0.3756
Rb2 0.4728 0.5000 0.8756
Rb3 0.9728 0.0000 0.8768
Rb4 0.9728 0.5000 0.3768

***

No. 6
# ScAsC3

A relaxed ScAsC3 crystal (PBE, Alexandria).

Summary:
Its volume is 59.8 Å³/f.u. The relative energy among the computed polymorphs comes out at 0.00 kcal/mol of atoms. The theoretical density is 4.3 g/cm³. Its symmetry is No. 221.

a = 3.9113 Å, b = 3.9113 Å, c = 3.9113 Å
α = 90.00°, β = 90.00°, γ = 90.00°
Sites, in units of the cell vectors:
Sc1 0.5000 0.5000 0.5000
As1 0.0000 0.0000 0.0000
C1 0.0000 0.5000 0.0000
C2 0.0000 0.0000 0.5000
C3 0.5000 0.0000 0.0000

***

No. 7
# PuNp2RuN4

A relaxed PuNp2RuN4 crystal (PBE, Alexandria).

Summary:
Its volume is 111.0 Å³/f.u. The value obtained for the formation energy without anion corrections is -0.8389 eV/atom. The theoretical density is 13.1 g/cm³. Its symmetry is No. 63.

a = 3.3432 Å, b = 6.0020 Å, c = 11.5218 Å
α = 90.00°, β = 90.00°, γ = 106.17°
Site moments in Bohr magnetons follow the coordinates.
Sites, in units of the cell vectors:
Pu1 0.1089 0.2178 0.7500  4.93
Pu2 0.8911 0.7822 0.2500  4.93
Np1 0.3707 0.7415 0.5547  2.61
Np2 0.6293 0.2585 0.0547  2.61
Np3 0.6293 0.2585 0.4453  2.61
Np4 0.3707 0.7415 0.9453  2.61
Ru1 0.8466 0.6931 0.7500  -0.41
Ru2 0.1534 0.3069 0.2500  -0.41
N1 0.2743 0.5486 0.1123  -0.16
N2 0.7257 0.4514 0.6123  -0.16
N3 0.7257 0.4514 0.8877  -0.16
N4 0.2743 0.5486 0.3877  -0.16
N5 0.0000 0.0000 0.5000  -0.18
N6 0.0000 0.0000 0.0000  -0.18
N7 0.4586 0.9173 0.7500  -0.09
N8 0.5414 0.0827 0.2500  -0.09

***

No. 8
# Nd6InPd

A relaxed Nd6InPd crystal (PBE, Alexandria).

Summary:
Its volume is 241.5 Å³/f.u. The theoretical density is 7.5 g/cm³. Its symmetry is No. 2.

a = 6.6409 Å, b = 8.6889 Å, c = 6.3657 Å
α = 67.78°, β = 83.86°, γ = 46.78°
Sites, in units of the cell vectors:
Nd1 0.1574 0.2582 0.7430
Nd2 0.8491 0.9177 0.6561
Nd3 0.4243 0.3426 0.0826
Nd4 0.1509 0.0823 0.3439
Nd5 0.8426 0.7418 0.2570
Nd6 0.5757 0.6574 0.9174
In1 0.5000 0.5000 0.5000
Pd1 0.0000 0.0000 0.0000

***

No. 9
# Ac2TlCd2Pd5

A relaxed Ac2TlCd2Pd5 crystal (PBE, Alexandria).

Summary:
Its volume is 222.6 Å³/f.u. The theoretical density is 10.6 g/cm³. Its symmetry is No. 127.

a = 3.9045 Å, b = 10.6793 Å, c = 10.6793 Å
α = 90.00°, β = 90.00°, γ = 90.00°
Sites, in units of the cell vectors:
Ac1 0.0000 0.6754 0.1754
Ac2 0.0000 0.3246 0.8246
Ac3 0.0000 0.1754 0.3246
Ac4 0.0000 0.8246 0.6754
Tl1 0.0000 0.0000 0.0000
Tl2 0.0000 0.5000 0.5000
Cd1 0.0000 0.1229 0.6229
Cd2 0.0000 0.8771 0.3771
Cd3 0.0000 0.6229 0.8771
Cd4 0.0000 0.3771 0.1229
Pd1 0.5000 0.2013 0.0499
Pd2 0.5000 0.7987 0.9501
Pd3 0.5000 0.0499 0.7987
Pd4 0.5000 0.7013 0.4501
Pd5 0.5000 0.9501 0.2013
Pd6 0.5000 0.2987 0.5499
Pd7 0.5000 0.5499 0.7013
Pd8 0.5000 0.4501 0.2987
Pd9 0.5000 0.5000 0.0000
Pd10 0.5000 0.0000 0.5000

***

No. 10
# TbHo3Se6

A relaxed TbHo3Se6 crystal (PBE, Alexandria).

Summary:
Its volume is 294.2 Å³/f.u. The value obtained for the formation energy without anion corrections is -1.8333 eV/atom. The relative energy among the computed polymorphs comes out at 0.75 kcal/mol of atoms. The theoretical density is 6.4 g/cm³. Its symmetry is No. 148.

a = 8.3810 Å, b = 8.3810 Å, c = 8.3810 Å
α = 90.89°, β = 90.89°, γ = 90.89°
Sites, in units of the cell vectors:
Tb1 0.0000 0.0000 0.0000
Tb2 0.5000 0.5000 0.5000
Ho1 0.4303 0.9209 0.7546
Ho2 0.9209 0.7546 0.4303
Ho3 0.2454 0.5697 0.0791
Ho4 0.7546 0.4303 0.9209
Ho5 0.0791 0.2454 0.5697
Ho6 0.5697 0.0791 0.2454
Se1 0.3172 0.9090 0.0856
Se2 0.0910 0.9144 0.6828
Se3 0.5941 0.8217 0.4634
Se4 0.9144 0.6828 0.0910
Se5 0.4634 0.5941 0.8217
Se6 0.1783 0.5366 0.4059
Se7 0.8217 0.4634 0.5941
Se8 0.5366 0.4059 0.1783
Se9 0.0856 0.3172 0.9090
Se10 0.4059 0.1783 0.5366
Se11 0.9090 0.0856 0.3172
Se12 0.6828 0.0910 0.9144

***

No. 11
# Tb4Nd4Dy3

A relaxed Tb4Nd4Dy3 crystal (PBE, Alexandria).

Summary:
Its volume is 361.8 Å³/f.u. The theoretical density is 7.8 g/cm³. Its symmetry is No. 2.

a = 3.5435 Å, b = 5.6928 Å, c = 18.2428 Å
α = 81.05°, β = 84.42°, γ = 89.99°
Sites, in units of the cell vectors:
Tb1 0.5459 0.5458 0.9092
Tb2 0.4542 0.4542 0.0908
Tb3 0.3192 0.8194 0.3610
Tb4 0.6808 0.1806 0.6390
Nd1 0.5906 0.0907 0.8192
Nd2 0.2683 0.2680 0.4638
Nd3 0.7317 0.7320 0.5362
Nd4 0.4095 0.9093 0.1808
Dy1 0.1360 0.6359 0.7287
Dy2 0.8640 0.3641 0.2713
Dy3 0.0000 0.0000 0.0000

***

No. 12
# Sm4DySi4

A relaxed Sm4DySi4 crystal (PBE, Alexandria).

Summary:
Its volume is 238.5 Å³/f.u. The value obtained for the formation energy without anion corrections is -0.4764 eV/atom. The theoretical density is 6.1 g/cm³. Its symmetry is No. 86.

a = 5.9556 Å, b = 8.9495 Å, c = 8.9495 Å
α = 90.00°, β = 90.00°, γ = 90.00°
Sites, in units of the cell vectors:
Sm1 0.3667 0.3096 0.9182
Sm2 0.8667 0.5818 0.8096
Sm3 0.3667 0.6904 0.0818
Sm4 0.1333 0.1904 0.5818
Sm5 0.6333 0.9182 0.6904
Sm6 0.1333 0.8096 0.4182
Sm7 0.8667 0.4182 0.1904
Sm8 0.6333 0.0818 0.3096
Dy1 0.0000 0.0000 0.0000
Dy2 0.5000 0.5000 0.5000
Si1 0.6434 0.7624 0.3675
Si2 0.6434 0.2376 0.6325
Si3 0.1434 0.8675 0.7376
Si4 0.8566 0.2624 0.8675
Si5 0.8566 0.7376 0.1325
Si6 0.3566 0.3675 0.2376
Si7 0.3566 0.6325 0.7624
Si8 0.1434 0.1325 0.2624

***

No. 13
# Ba6As3N

A relaxed Ba6As3N crystal (PBE, Alexandria).

Summary:
Its volume is 400.7 Å³/f.u. The value obtained for the formation energy without anion corrections is -0.8743 eV/atom. The theoretical density is 4.4 g/cm³. Its symmetry is No. 148.

a = 9.3146 Å, b = 9.3146 Å, c = 9.3146 Å
α = 94.14°, β = 94.14°, γ = 94.14°
Sites, in units of the cell vectors:
Ba1 0.2950 0.9343 0.0703
Ba2 0.0657 0.9297 0.7050
Ba3 0.5694 0.7905 0.4480
Ba4 0.9297 0.7050 0.0657
Ba5 0.4480 0.5694 0.7905
Ba6 0.2095 0.5520 0.4306
Ba7 0.7905 0.4480 0.5694
Ba8 0.5520 0.4306 0.2095
Ba9 0.0703 0.2950 0.9343
Ba10 0.4306 0.2095 0.5520
Ba11 0.9343 0.0703 0.2950
Ba12 0.7050 0.0657 0.9297
As1 0.4164 0.9067 0.7386
As2 0.9067 0.7386 0.4164
As3 0.2614 0.5836 0.0933
As4 0.7386 0.4164 0.9067
As5 0.0933 0.2614 0.5836
As6 0.5836 0.0933 0.2614
N1 0.0000 0.0000 0.0000
N2 0.5000 0.5000 0.5000

***

No. 14
# Ac12Ga6Pd

A relaxed Ac12Ga6Pd crystal (PBE, Alexandria).

Summary:
Its volume is 743.5 Å³/f.u. The theoretical density is 7.3 g/cm³. Its symmetry is No. 148.

a = 9.2197 Å, b = 9.2197 Å, c = 9.2197 Å
α = 99.95°, β = 99.95°, γ = 99.95°
Sites, in units of the cell vectors:
Ac1 0.8177 0.5744 0.4343
Ac2 0.4343 0.8177 0.5744
Ac3 0.5744 0.4343 0.8177
Ac4 0.1823 0.4256 0.5657
Ac5 0.5657 0.1823 0.4256
Ac6 0.4256 0.5657 0.1823
Ac7 0.0715 0.9555 0.3211
Ac8 0.0445 0.6789 0.9285
Ac9 0.6789 0.9285 0.0445
Ac10 0.9285 0.0445 0.6789
Ac11 0.9555 0.3211 0.0715
Ac12 0.3211 0.0715 0.9555
Ga1 0.6974 0.8653 0.3756
Ga2 0.6244 0.3026 0.1347
Ga3 0.1347 0.6244 0.3026
Ga4 0.3026 0.1347 0.6244
Ga5 0.3756 0.6974 0.8653
Ga6 0.8653 0.3756 0.6974
Pd1 0.0000 0.0000 0.0000

***

No. 15
# Nd2SiHPd6

A relaxed Nd2SiHPd6 crystal (PBE, Alexandria).

Summary:
Its volume is 170.9 Å³/f.u. The theoretical density is 9.3 g/cm³. Its symmetry is No. 12.

a = 5.7769 Å, b = 6.7999 Å, c = 5.7788 Å
α = 64.62°, β = 60.02°, γ = 90.01°
Sites, in units of the cell vectors:
Nd1 0.7259 0.1783 0.5483
Nd2 0.2741 0.8217 0.4517
Si1 0.0000 0.0000 0.0000
H1 0.5000 0.5000 0.0000
Pd1 0.2679 0.3055 0.4643
Pd2 0.7326 0.6959 0.0358
Pd3 0.2316 0.6958 0.0358
Pd4 0.7684 0.3042 0.9642
Pd5 0.2674 0.3041 0.9642
Pd6 0.7321 0.6945 0.5357

***

No. 16
# K2NiRh2

A relaxed K2NiRh2 crystal (PBE, Alexandria).

Summary:
Its volume is 110.2 Å³/f.u. The relative energy among the computed polymorphs comes out at 0.00 kcal/mol of atoms. The theoretical density is 5.2 g/cm³. Its symmetry is No. 127.

a = 6.3123 Å, b = 6.3123 Å, c = 5.5331 Å
α = 90.00°, β = 90.00°, γ = 90.00°
Site moments in Bohr magnetons follow the coordinates.
Sites, in units of the cell vectors:
Ni1 0.0000 0.0000 0.0000  0.72
Ni2 0.5000 0.5000 0.0000  0.68
K1 0.1817 0.6817 0.5000  -0.01
K2 0.6817 0.8183 0.5000  -0.01
K3 0.8183 0.3183 0.5000  -0.01
K4 0.3183 0.1817 0.5000  -0.01
Rh1 0.3630 0.8630 0.0000  0.57
Rh2 0.8630 0.6370 0.0000  0.54
Rh3 0.6370 0.1370 0.0000  0.57
Rh4 0.1370 0.3630 0.0000  0.54

***

No. 17
# CeTm2Tl

A relaxed CeTm2Tl crystal (PBE, Alexandria).

Summary:
Its volume is 116.4 Å³/f.u. The relative energy among the computed polymorphs comes out at 1.72 kcal/mol of atoms. The theoretical density is 9.7 g/cm³. Its symmetry is No. 160.

a = 3.5057 Å, b = 3.5057 Å, c = 11.1185 Å
α = 80.93°, β = 80.93°, γ = 60.00°
Site moments in Bohr magnetons follow the coordinates.
Sites, in units of the cell vectors:
Ce1 0.5000 0.5000 0.5001  0.81
Tm1 0.0791 0.0791 0.7627  0.15
Tm2 0.2543 0.2543 0.2370  0.08
Tl1 0.6666 0.6666 0.0002  0.00

***

No. 18
# DyTe3

A relaxed DyTe3 crystal (PBE, Alexandria).

Summary:
Its volume is 127.0 Å³/f.u. The value obtained for the formation energy without anion corrections is -0.5847 eV/atom. The theoretical density is 7.1 g/cm³. Its symmetry is No. 123.

a = 4.4857 Å, b = 6.3082 Å, c = 4.4896 Å
α = 90.00°, β = 90.00°, γ = 90.00°
Sites, in units of the cell vectors:
Te1 0.5000 0.0000 0.6663
Te2 0.5000 0.5000 0.6669
Te3 0.0000 0.5000 0.1670
Dy1 0.0000 0.0000 0.1664

***

No. 19
# CsIrNF

A relaxed CsIrNF crystal (PBE, Alexandria).

Summary:
Its volume is 111.9 Å³/f.u. The value obtained for the formation energy without anion corrections is -0.3484 eV/atom. The relative energy among the computed polymorphs comes out at 4.97 kcal/mol of atoms. The theoretical density is 5.3 g/cm³. Its symmetry is No. 1.

a = 4.8623 Å, b = 4.9032 Å, c = 4.9594 Å
α = 78.46°, β = 78.51°, γ = 78.39°
Sites, in units of the cell vectors:
Cs1 0.7462 0.0753 0.2425
Ir1 0.2416 0.5714 0.7404
N1 0.0821 0.4061 0.5680
F1 0.4249 0.7627 0.9432

***

| no. | E (eV per atom) |
| --- | --- |
| 1 | -3.374 |
| 2 | -6.020 |
| 3 | -7.231 |
| 4 | -3.374 |
| 5 | -5.260 |
| 6 | -5.921 |
| 7 | -11.188 |
| 8 | -4.802 |
| 9 | -4.281 |
| 10 | -5.760 |
| 11 | -4.613 |
| 12 | -5.495 |
| 13 | -4.255 |
| 14 | -4.045 |
| 15 | -5.673 |
| 16 | -4.012 |
| 17 | -4.369 |
| 18 | -4.091 |
| 19 | -5.326 |